Density functional theory data (PBE+U) for a relaxed AlCoNO2 crystal.

Cell: 3.786 3.786 3.446 Å, 90.00 90.00 90.00°
Fractional coordinates of all 5 atoms:
Al: 0.000 0.000 0.000
Co: 0.500 0.500 0.500
N: 0.500 0.500 0.000
O: 0.000 0.500 0.500
O: 0.500 0.000 0.500

Properties
Total energy in eV per atom: -5.383
Theoretical density in g/cm3: 4.43
Size of the total moment in Bohr magnetons per cell: 0.89